Material: TbPuPa2N6
Method: DFT, PBE-GGA
State: optimized geometry Values from VASP.

Cell and atoms, written as Quantum ESPRESSO input:
```
&SYSTEM
  ibrav = 0, nat = 10, ntyp = 4
/
ATOMIC_SPECIES
Tb 158.93 Tb.upf
Pu 244.00 Pu.upf
Pa 231.04 Pa.upf
N 14.01 N.upf
CELL_PARAMETERS angstrom
2.982 1.722 4.937
-2.982 1.722 4.937
0.000 -3.444 4.937
ATOMIC_POSITIONS angstrom
Tb 0.000 0.000 0.000
Pu 0.000 0.000 7.218
Pa 0.000 0.000 3.979
Pa 0.000 0.000 11.458
N -1.640 -0.089 5.661
N -1.226 -1.720 8.045
N 0.897 -1.376 5.661
N -0.877 1.922 8.045
N 0.743 1.465 5.661
N 2.103 -0.202 8.045
```

Properties
Symmetry: No. 146
Uncorrected energy in eV for the cell shown: -101.705
ΔE_f (raw) in eV per atom: -1.38
ρ in Mg/m³: 10.4